Density functional theory data (GGA+U) for an optimized crystal structure of NiAgBrO2.

```
NiAgBrO2
1.0
-2.624 -1.129 2.381
-3.739 -2.163 -5.146
1.631 -3.335 0.216
O Ni Br Ag
2 1 1 1
direct
0.000 0.000 0.500 O
0.500 0.000 0.000 O
0.000 0.000 0.000 Ni
0.000 0.500 0.000 Br
0.500 0.500 0.500 Ag
```

Properties
The raw total energy is -16.74 eV/cell. The theoretical density comes out at 4.98 g/cm3.